A relaxed Cs2RbTl2 crystal. Source: the Alexandria database, functional PBE.

## Properties
The density of states at the Fermi level comes out at 10.5 states/eV/cell. The formation energy is 0.00 eV per atom. The mass density is 4.2 g cm⁻³. The offset from the most stable computed form comes out at 39 meV/atom. For the magnetization, the calculation gives 0.000 Bohr magnetons per cell.

```
data_Cs2RbTl2
_chemical_formula_sum 'Cs4 Rb2 Tl4'
_cell_length_a 9.558
_cell_length_b 9.558
_cell_length_c 6.521
_cell_angle_alpha 90.00
_cell_angle_beta 90.00
_cell_angle_gamma 90.00
_symmetry_space_group_name_H-M 'P 1'
_symmetry_Int_Tables_number 1
_symmetry_space_group_name_Hall 'P 1'
loop_
_atom_site_label
_atom_site_fract_x
_atom_site_fract_y
_atom_site_fract_z
_atom_site_occupancy
Cs1 0.176 0.676 0.500 1
Cs2 0.676 0.824 0.500 1
Cs3 0.824 0.324 0.500 1
Cs4 0.324 0.176 0.500 1
Tl1 0.390 0.890 0.000 1
Tl2 0.890 0.610 0.000 1
Tl3 0.610 0.110 0.000 1
Tl4 0.110 0.390 0.000 1
Rb1 0.000 0.000 0.000 1
Rb2 0.500 0.500 0.000 1
```